Entry 1:
The following is a GGA-PBE calculation of crystalline KBeAs2 at its relaxed geometry, from Alexandria.

Lattice parameters (Å, degrees): 5.1046 5.1046 5.1046 127.05 127.05 78.18
Last column: nearest neighbours and their distance in Å.
Atoms (fractional coordinates):
Be (0.2500, 0.7500, 0.5000)  8 As 3.02, 4 K 3.22
As (0.0000, 0.0000, 0.0000)  4 K 3.02, 4 Be 3.02, 4 As 3.22
As (0.5000, 0.5000, 0.0000)  4 K 3.02, 4 Be 3.02, 4 As 3.22
K (0.7500, 0.2500, 0.5000)  8 As 3.02, 4 Be 3.22

## Properties
Crystal system = tetragonal
Formation energy = 561.1 meV/atom
Space-group type = I4/mmm (139)

***

Entry 2:
The following is a GGA-PBE calculation of crystalline K2BeAs at its relaxed geometry, from Alexandria.

Lattice parameters (Å, degrees): 3.9615 5.2357 6.6955 66.96 90.00 90.00
Last column: nearest neighbours and their distance in Å.
Atoms (fractional coordinates):
Be (0.5000, 0.5935, 0.6879)  2 As 2.18
As (0.0000, 0.6672, 0.5409)  2 Be 2.18
K (0.0000, 0.9739, 0.9272)  3 As 3.54-3.78, 4 Be 3.60, 2 K 3.96
K (0.5000, 0.2655, 0.3440)  2 Be 3.37, 4 As 3.50

## Properties
Crystal system = orthorhombic
E above lowest polymorph = 140 meV per atom
Formation energy = -100.8 meV/atom
Space-group type = Amm2 (38)

***

Entry 3:
The following is a GGA-PBE calculation of crystalline KBeAs2 at its relaxed geometry, from Alexandria.

Lattice parameters (Å, degrees): 4.0274 4.0274 7.5499 90.00 90.00 123.07
Last column: nearest neighbours and their distance in Å.
Atoms (fractional coordinates):
Be (0.5000, 0.5000, 0.2500)  4 As 2.28
As (0.0000, 0.0000, 0.0867)  2 Be 2.28, 1 As 2.47
As (0.0000, 0.0000, 0.4133)  2 Be 2.28, 1 As 2.47
K (0.5000, 0.5000, 0.7500)  4 As 3.19

## Properties
Crystal system = orthorhombic
Formation energy = 70.8 meV/atom
Space-group type = Cmmm (65)

***

Entry 4:
The following is a GGA-PBE calculation of crystalline K2BeAs at its relaxed geometry, from Alexandria.

Lattice parameters (Å, degrees): 5.8787 5.8787 5.8787 131.90 131.88 70.40
Last column: nearest neighbours and their distance in Å.
Atoms (fractional coordinates):
Be (0.2500, 0.7500, 0.5000)  4 As 3.39, 8 K 3.39
As (0.7500, 0.2500, 0.5000)  4 Be 3.39, 8 K 3.39
K (0.9998, 0.9998, 0.0000)  4 K 3.39, 4 As 3.39, 4 Be 3.39
K (0.5002, 0.5002, 0.0000)  4 K 3.39, 4 As 3.39, 4 Be 3.39

## Properties
Crystal system = tetragonal
E above lowest polymorph = 720 meV per atom
Formation energy = 479.5 meV/atom
Space-group type = I4/mmm (139)

***

Entry 5:
The following is a GGA-PBE calculation of crystalline K2BeAs at its relaxed geometry, from Alexandria.

Lattice parameters (Å, degrees): 5.3112 5.3112 5.3112 60.00 60.00 60.00
Last column: nearest neighbours and their distance in Å.
Atoms (fractional coordinates):
Be (0.7500, 0.7500, 0.7500)  4 As 3.25, 4 K 3.25
As (0.5000, 0.5000, 0.5000)  4 K 3.25, 4 Be 3.25
K (0.0000, 0.0000, 0.0000)  4 K 3.25, 4 Be 3.25
K (0.2500, 0.2500, 0.2500)  4 As 3.25, 4 K 3.25

## Properties
Crystal system = cubic
E above lowest polymorph = 644 meV per atom
Formation energy = 403.0 meV/atom
Space-group type = F-43m (216)

***

Entry 6:
The following is a GGA-PBE calculation of crystalline KBeAs3 at its relaxed geometry, from Alexandria.

Lattice parameters (Å, degrees): 4.7445 4.7445 4.7445 90.00 90.00 90.00
Last column: nearest neighbours and their distance in Å.
Atoms (fractional coordinates):
Be (0.0000, 0.0000, 0.0000)  6 As 2.37
As (0.0000, 0.5000, 0.0000)  2 Be 2.37
As (0.0000, 0.0000, 0.5000)  2 Be 2.37
As (0.5000, 0.0000, 0.0000)  2 Be 2.37
K (0.5000, 0.5000, 0.5000)  12 As 3.35

## Properties
Crystal system = cubic
E above lowest polymorph = 0 meV per atom
Formation energy = 225.6 meV/atom
Space-group type = Pm-3m (221)

***

Entry 7:
The following is a GGA-PBE calculation of crystalline K2BeAs at its relaxed geometry, from Alexandria.

Lattice parameters (Å, degrees): 4.9937 3.7066 7.0439 57.82 90.00 90.00
Last column: nearest neighbours and their distance in Å.
Atoms (fractional coordinates):
Be (0.5000, 0.7500, 0.7500)  2 As 2.98
As (0.5000, 0.2500, 0.2500)  2 Be 2.98
K (0.0000, 0.9941, 0.0063)  2 K 2.91-3.06
K (0.0000, 0.5059, 0.4937)  2 K 2.91-3.06

## Properties
Crystal system = monoclinic
E above lowest polymorph = 755 meV per atom
Formation energy = 513.8 meV/atom
Space-group type = P2/m (10)

***

Entry 8:
The following is a GGA-PBE calculation of crystalline KBe2As at its relaxed geometry, from Alexandria.

Lattice parameters (Å, degrees): 3.1482 3.1482 7.2349 90.00 90.00 90.09
Last column: nearest neighbours and their distance in Å.
Atoms (fractional coordinates):
Be (0.0000, 0.0000, 0.0324)  4 Be 2.35-2.36, 2 As 2.64
Be (0.5000, 0.5000, 0.1389)  1 As 2.18, 4 Be 2.35-2.36
As (0.5000, 0.5000, 0.8371)  1 Be 2.18
K (0.0000, 0.0000, 0.4916)  4 K 3.15, 5 Be 3.32-3.39, 4 As 3.35

## Properties
Crystal system = orthorhombic
Formation energy = 397.0 meV/atom
Space-group type = Cmm2 (35)